DFT (GGA-PBE) results for a relaxed ZrInSb2 crystal.

Structure (POSCAR):
```
ZrInSb2
1.0
5.3513 -1.6594 0.0000
5.3513 1.6594 0.0000
-0.8242 0.0000 5.6333
Zr In Sb
1 1 2
direct
0.0000 0.0000 0.0000
0.5000 0.5000 0.5000
0.2697 0.2697 0.7790
0.7303 0.7303 0.2210
```

The value obtained for the magnetization is 0.00 μB per formula unit. For the energy relative to the elements, uncorrected, the calculation gives -128 meV per atom.